No. 1
A relaxed structure of Ba12Ag6Sn. Source: Alexandria via LeMat-Bulk, functional GGA-PBE.

The calculated volume comes out at 42.889 A^3/atom. The calculation puts the final energy at -2.56 eV/atom.

It has space group Im-3 (No. 204), with a = 11.7682 Å, b = 11.7682 Å, c = 11.7682 Å, α = 90.00°, β = 90.00° and γ = 90.00°. Symmetry generates all atoms from Ba at (0.0000, 0.2941, 0.1821), Ag at (0.0000, 0.1213, 0.5000) and Sn at (0.0000, 0.0000, 0.0000).

---

No. 2
A relaxed structure of Ba2AgSn7. Source: Alexandria via LeMat-Bulk, functional GGA-PBE.

The calculated volume comes out at 32.480 A^3/atom. The calculation puts the final energy at -3.78 eV/atom.

It has space group P-4m2 (No. 115), with a = 5.0411 Å, b = 5.0411 Å, c = 12.7809 Å, α = 90.00°, β = 90.00° and γ = 90.00°. Symmetry generates all atoms from Ba at (0.0000, 0.5000, 0.2391), Ag at (0.5000, 0.5000, 0.0000), Sn at (0.0000, 0.0000, 0.0000), Sn at (0.0000, 0.0000, 0.5000), Sn at (0.0000, 0.5000, 0.6394), Sn at (0.0000, 0.5000, 0.8747) and Sn at (0.5000, 0.5000, 0.5000).

---

No. 3
A relaxed structure of BaAgSn4. Source: Alexandria via LeMat-Bulk, functional GGA-PBE.

The calculated volume comes out at 28.795 A^3/atom. The value obtained for the distance to the lowest polymorph of the same formula is 0.00 eV per formula unit.

It has space group Cmcm (No. 63), with a = 4.8975 Å, b = 18.7476 Å, c = 7.5268 Å, α = 90.00°, β = 90.00° and γ = 90.00°. Symmetry generates all atoms from Ba at (0.0000, 0.1179, 0.2500), Ag at (0.0000, 0.2228, 0.7500), Sn at (0.0000, 0.0689, 0.7500), Sn at (0.0000, 0.3189, 0.0521) and Sn at (0.0000, 0.5000, 0.0000).

---

No. 4
A relaxed structure of Ba3Ag2Sn4. Source: Alexandria via LeMat-Bulk, functional GGA-PBE.

The calculated volume comes out at 32.821 A^3/atom. The calculation puts the final energy at -3.57 eV/atom.

It has space group C2/m (No. 12), with a = 12.1821 Å, b = 5.0496 Å, c = 9.8085 Å, α = 90.00°, β = 101.73° and γ = 90.00°. Symmetry generates all atoms from Ba at (0.0000, 0.0000, 0.0000), Ba at (0.1295, 0.5000, 0.6940), Ag at (0.1760, 0.5000, 0.3471), Sn at (0.0969, 0.0000, 0.4250) and Sn at (0.2121, 0.5000, 0.0664).

---

No. 5
A relaxed structure of BaAg8Sn3. Source: Alexandria via LeMat-Bulk, functional GGA-PBE.

The calculated volume comes out at 22.470 A^3/atom. The calculation puts the final energy at -3.12 eV/atom.

It has space group P3m1 (No. 156), with a = 5.7784 Å, b = 5.7784 Å, c = 9.3248 Å, α = 90.00°, β = 90.00° and γ = 120.00°. Symmetry generates all atoms from Ba at (0.0000, 0.0000, 0.0000), Ag at (0.1652, 0.3304, 0.6732), Ag at (0.3333, 0.6667, 0.4297), Ag at (0.3333, 0.6667, 0.9273), Ag at (0.5022, 0.0044, 0.1882), Sn at (0.0000, 0.0000, 0.3967), Sn at (0.6667, 0.3333, 0.4707) and Sn at (0.6667, 0.3333, 0.8297).

---

No. 6
A relaxed structure of Ba5Ag2Sn. Source: Alexandria via LeMat-Bulk, functional GGA-PBE.

The calculated volume comes out at 41.875 A^3/atom. The calculation puts the final energy at -2.75 eV/atom.

It has space group I4/mcm (No. 140), with a = 9.1074 Å, b = 9.1074 Å, c = 16.1555 Å, α = 90.00°, β = 90.00° and γ = 90.00°. Symmetry generates all atoms from Ba at (0.0000, 0.0000, 0.0000), Ba at (0.1718, 0.3282, 0.1444), Ag at (0.1161, 0.3839, 0.5000) and Sn at (0.0000, 0.0000, 0.2500).

---

No. 7
A relaxed structure of BaAg2Sn2. Source: Alexandria via LeMat-Bulk, functional GGA-PBE.

The calculated volume comes out at 27.700 A^3/atom. The calculation puts the final energy at -3.52 eV/atom.

It has space group C2/m (No. 12), with a = 6.9239 Å, b = 6.9585 Å, c = 6.6878 Å, α = 90.00°, β = 120.72° and γ = 90.00°. Symmetry generates all atoms from Ba at (0.0000, 0.0000, 0.0000), Ag at (0.0000, 0.2299, 0.5000) and Sn at (0.1099, 0.5000, 0.2520).

---

No. 8
A relaxed structure of BaAgSn4. Source: Alexandria via LeMat-Bulk, functional GGA-PBE.

The calculated volume comes out at 29.906 A^3/atom. The value obtained for the distance to the lowest polymorph of the same formula is 0.29 eV per formula unit.

It has space group C2/m (No. 12), with a = 12.5296 Å, b = 10.0807 Å, c = 6.7288 Å, α = 90.00°, β = 122.38° and γ = 90.00°. Symmetry generates all atoms from Ba at (0.2502, 0.0000, 0.0054), Ag at (0.2500, 0.2500, 0.5000), Sn at (0.0000, 0.2460, 0.0000), Sn at (0.0000, 0.2537, 0.5000), Sn at (0.1033, 0.0000, 0.3604) and Sn at (0.1026, 0.5000, 0.3441).

---

No. 9
A relaxed structure of BaAgSn2. Source: Alexandria via LeMat-Bulk, functional GGA-PBE.

The calculated volume comes out at 29.340 A^3/atom. The value obtained for the distance to the lowest polymorph of the same formula is 1.02 eV per formula unit.

It has space group Fm-3m (No. 225), with a = 7.7719 Å, b = 7.7719 Å, c = 7.7719 Å, α = 90.00°, β = 90.00° and γ = 90.00°. Symmetry generates all atoms from Ba at (0.0000, 0.0000, 0.0000), Ag at (0.0000, 0.0000, 0.5000) and Sn at (0.2500, 0.2500, 0.2500).

---

No. 10
A relaxed structure of BaAg3Sn3. Source: Alexandria via LeMat-Bulk, functional GGA-PBE.

The calculated volume comes out at 29.359 A^3/atom. The calculation puts the final energy at -3.30 eV/atom.

It has space group R-3 (No. 148, hexagonal axes), with a = 7.7587 Å, b = 7.7587 Å, c = 23.6531 Å, α = 90.00°, β = 90.00° and γ = 120.00°. Symmetry generates all atoms from Ba at (0.0000, 0.0000, 0.1759), Ag at (0.0456, 0.8041, 0.9502) and Sn at (0.0646, 0.8016, 0.3939).

---

No. 11
A relaxed structure of BaAg2Sn8. Source: Alexandria via LeMat-Bulk, functional GGA-PBE.

The calculated volume comes out at 34.134 A^3/atom. The calculation puts the final energy at -3.59 eV/atom.

It has space group P4/mmm (No. 123), with a = 6.3369 Å, b = 6.3369 Å, c = 9.3503 Å, α = 90.00°, β = 90.00° and γ = 90.00°. Symmetry generates all atoms from Ba at (0.0000, 0.0000, 0.0000), Ag at (0.0000, 0.5000, 0.5000) and Sn at (0.2545, 0.2545, 0.3029).

---

No. 12
A relaxed structure of BaAg4Sn12. Source: Alexandria via LeMat-Bulk, functional GGA-PBE.

The calculated volume comes out at 27.717 A^3/atom. The calculation puts the final energy at -3.66 eV/atom.

It has space group Im-3 (No. 204), with a = 9.8041 Å, b = 9.8041 Å, c = 9.8041 Å, α = 90.00°, β = 90.00° and γ = 90.00°. Symmetry generates all atoms from Ba at (0.0000, 0.0000, 0.0000), Ag at (0.2500, 0.2500, 0.2500) and Sn at (0.0000, 0.3517, 0.1565).